# 1
Entry from the Alexandria database: a relaxed IrOsBr2 crystal (PBE).

POSCAR file:
```
IrOsBr2
1.0
-6.411 4.203 4.607
-8.490 2.717 0.735
6.764 -5.536 -1.897
Os Ir Br
1 1 2
Cartesian
-5.725 0.848 1.162
-6.254 2.904 2.242
-3.252 0.926 2.584
-0.356 0.165 0.128
```

Properties
Its uncorrected formation energy is 885 meV/atom. The value obtained for the total energy is -19.90 eV per formula unit. The calculation puts the total magnetic moment at 1.3 μB per cell. Its volume is 92 Å³/f.u.

# 2
Entry from the Alexandria database: a relaxed H5Pd8Au crystal (PBE).

POSCAR file:
```
H5Pd8Au
1.0
2.656 0.907 -0.661
1.739 8.474 -0.342
-0.284 1.733 7.612
Au Pd H
1 8 5
Cartesian
1.874 6.316 7.040
2.222 8.652 5.278
2.846 6.062 4.297
3.197 8.400 2.529
1.145 4.905 2.082
1.522 7.180 0.380
0.816 2.513 3.837
2.470 3.724 5.889
1.783 2.311 1.143
1.523 8.224 1.856
2.833 5.055 2.758
3.180 10.206 4.996
1.765 1.313 -0.344
1.144 6.724 4.689
```

Properties
The value obtained for the total energy is -62.69 eV per formula unit. The calculation puts the total magnetic moment at 0.0 μB per cell. Its volume is 157 Å³/f.u.